[1]
A geometry-optimized Ac3LaSb3 structure, computed with GGA-PBE.

Output
DOS at the Fermi energy: 8.6 states/eV/f.u.
uncorrected formation energy: -1042 meV/atom
density: 7.9 g cm⁻³
E: -36.911 eV per formula unit

Cell and atoms, written as POSCAR:
```
Ac3LaSb3
1.0
9.989 0.000 0.000
0.000 9.989 0.000
0.000 0.000 9.989
Ac La Sb
12 4 12
direct
0.069 0.431 0.569
0.178 0.822 0.322
0.181 0.181 0.181
0.319 0.819 0.681
0.322 0.178 0.822
0.431 0.569 0.069
0.569 0.069 0.431
0.678 0.678 0.678
0.681 0.319 0.819
0.819 0.681 0.319
0.822 0.322 0.178
0.931 0.931 0.931
0.070 0.570 0.930
0.430 0.430 0.430
0.570 0.930 0.070
0.930 0.070 0.570
0.002 0.255 0.873
0.127 0.502 0.245
0.245 0.127 0.502
0.255 0.873 0.002
0.373 0.498 0.745
0.498 0.745 0.373
0.502 0.245 0.127
0.627 0.998 0.755
0.745 0.373 0.498
0.755 0.627 0.998
0.873 0.002 0.255
0.998 0.755 0.627
```

=====

[2]
A geometry-optimized AcLa3Sb4 structure, computed with GGA-PBE.

Output
energy relative to the lowest polymorph listed for this composition: 0.003 eV/atom
DOS at the Fermi energy: 1.5 states/eV/f.u.
uncorrected formation energy: -1254 meV/atom
density: 6.5 g cm⁻³
E: -45.413 eV per formula unit

Cell and atoms, written as POSCAR:
```
AcLa3Sb4
1.0
6.609 0.000 0.000
0.000 6.609 0.000
0.000 0.000 13.214
Ac La Sb
2 6 8
direct
0.000 0.000 0.000
0.500 0.500 0.500
0.000 0.000 0.500
0.000 0.500 0.250
0.000 0.500 0.750
0.500 0.000 0.250
0.500 0.000 0.750
0.500 0.500 0.000
0.000 0.000 0.254
0.000 0.000 0.746
0.000 0.500 0.000
0.000 0.500 0.500
0.500 0.000 0.000
0.500 0.000 0.500
0.500 0.500 0.246
0.500 0.500 0.754
```

=====

[3]
A geometry-optimized AcLa2Sb structure, computed with GGA-PBE.

Output
energy relative to the lowest polymorph listed for this composition: 0.000 eV/atom
DOS at the Fermi energy: 6.5 states/eV/f.u.
uncorrected formation energy: -562 meV/atom
density: 7.5 g cm⁻³
E: -20.332 eV per formula unit

Cell and atoms, written as POSCAR:
```
AcLa2Sb
1.0
4.218 0.000 0.000
0.000 4.218 0.000
0.000 0.000 7.821
Ac La Sb
1 2 1
direct
0.000 0.000 0.000
0.500 0.500 0.296
0.500 0.500 0.704
0.000 0.000 0.500
```

=====

[4]
A geometry-optimized AcLa3Sb3 structure, computed with GGA-PBE.

Output
energy relative to the lowest polymorph listed for this composition: 0.246 eV/atom
DOS at the Fermi energy: 4.4 states/eV/f.u.
uncorrected formation energy: -857 meV/atom
density: 7.0 g cm⁻³
E: -37.255 eV per formula unit

Cell and atoms, written as POSCAR:
```
AcLa3Sb3
1.0
9.611 0.000 0.000
-4.805 8.323 0.000
0.000 0.000 6.007
Ac La Sb
2 6 6
direct
0.333 0.667 0.250
0.667 0.333 0.750
0.011 0.753 0.250
0.247 0.258 0.250
0.258 0.011 0.750
0.742 0.989 0.250
0.753 0.742 0.750
0.989 0.247 0.750
0.054 0.634 0.750
0.366 0.420 0.750
0.420 0.054 0.250
0.580 0.946 0.750
0.634 0.580 0.250
0.946 0.366 0.250
```

=====

[5]
A geometry-optimized AcLa5Sb6 structure, computed with GGA-PBE.

Output
DOS at the Fermi energy: 0.8 states/eV/f.u.
uncorrected formation energy: -1264 meV/atom
density: 6.4 g cm⁻³
E: -68.647 eV per formula unit

Cell and atoms, written as POSCAR:
```
AcLa5Sb6
1.0
4.034 -6.985 0.000
4.034 6.985 0.000
-2.690 0.000 7.605
Ac La Sb
1 5 6
direct
0.000 0.000 0.000
0.165 0.835 0.500
0.333 0.667 0.000
0.500 0.500 0.500
0.667 0.333 0.000
0.835 0.165 0.500
0.085 0.424 0.254
0.255 0.255 0.747
0.424 0.085 0.254
0.576 0.915 0.746
0.745 0.745 0.253
0.915 0.576 0.746
```

=====

[6]
A geometry-optimized Ac2LaSmSb4 structure, computed with GGA-PBE.

Output
DOS at the Fermi energy: 0.9 states/eV/f.u.
uncorrected formation energy: -1210 meV/atom
density: 7.1 g cm⁻³
E: -44.031 eV per formula unit

Cell and atoms, written as POSCAR:
```
Ac2LaSmSb4
1.0
8.096 0.000 0.000
0.000 4.679 0.000
-2.697 0.000 7.640
Ac La Sm Sb
2 1 1 4
direct
0.000 0.000 0.000
0.500 0.500 0.000
0.000 0.500 0.500
0.500 0.000 0.500
0.249 0.000 0.737
0.258 0.500 0.265
0.742 0.500 0.735
0.751 0.000 0.263
```

=====

[7]
A geometry-optimized AcLaSnSb structure, computed with GGA-PBE.

Output
DOS at the Fermi energy: 5.2 states/eV/f.u.
uncorrected formation energy: -745 meV/atom
density: 7.6 g cm⁻³
E: -20.141 eV per formula unit

Cell and atoms, written as POSCAR:
```
AcLaSnSb
1.0
8.076 0.000 0.000
0.000 8.076 0.000
0.000 0.000 8.076
Ac La Sn Sb
4 4 4 4
direct
0.000 0.000 0.000
0.000 0.500 0.500
0.500 0.000 0.500
0.500 0.500 0.000
0.000 0.000 0.500
0.000 0.500 0.000
0.500 0.000 0.000
0.500 0.500 0.500
0.250 0.250 0.250
0.250 0.750 0.750
0.750 0.250 0.750
0.750 0.750 0.250
0.250 0.250 0.750
0.250 0.750 0.250
0.750 0.250 0.250
0.750 0.750 0.750
```

=====

[8]
A geometry-optimized Ac2La3TbSb6 structure, computed with GGA-PBE.

Output
DOS at the Fermi energy: 1.4 states/eV/f.u.
uncorrected formation energy: -1216 meV/atom
density: 6.8 g cm⁻³
E: -66.962 eV per formula unit

Cell and atoms, written as POSCAR:
```
Ac2La3TbSb6
1.0
4.030 -6.981 0.000
4.030 6.981 0.000
-2.694 0.000 7.594
Ac La Tb Sb
2 3 1 6
direct
0.166 0.834 0.000
0.834 0.166 0.000
0.000 0.000 0.500
0.330 0.670 0.500
0.670 0.330 0.500
0.500 0.500 0.000
0.095 0.417 0.748
0.265 0.265 0.255
0.417 0.095 0.748
0.583 0.905 0.252
0.735 0.735 0.745
0.905 0.583 0.252
```

=====

[9]
A geometry-optimized AcLaTb2Sb4 structure, computed with GGA-PBE.

Output
DOS at the Fermi energy: 1.1 states/eV/f.u.
uncorrected formation energy: -1182 meV/atom
density: 7.2 g cm⁻³
E: -44.238 eV per formula unit

Cell and atoms, written as POSCAR:
```
AcLaTb2Sb4
1.0
7.891 0.000 0.000
0.000 4.565 0.000
-2.638 0.000 7.450
Ac La Tb Sb
1 1 2 4
direct
0.000 0.000 0.000
0.000 0.500 0.500
0.500 0.000 0.500
0.500 0.500 0.000
0.265 0.000 0.751
0.269 0.500 0.261
0.731 0.500 0.739
0.735 0.000 0.249
```

=====

[10]
A geometry-optimized AcLa2TbSb4 structure, computed with GGA-PBE.

Output
DOS at the Fermi energy: 0.9 states/eV/f.u.
uncorrected formation energy: -1205 meV/atom
density: 6.9 g cm⁻³
E: -44.725 eV per formula unit

Cell and atoms, written as POSCAR:
```
AcLa2TbSb4
1.0
7.995 0.000 0.000
0.000 4.625 0.000
-2.664 0.000 7.544
Ac La Tb Sb
1 2 1 4
direct
0.000 0.000 0.000
0.500 0.000 0.500
0.500 0.500 0.000
0.000 0.500 0.500
0.245 0.000 0.739
0.253 0.500 0.261
0.747 0.500 0.739
0.755 0.000 0.261
```

=====

[11]
A geometry-optimized Ac2LaThSb4 structure, computed with GGA-PBE.

Output
DOS at the Fermi energy: 1.9 states/eV/f.u.
uncorrected formation energy: -1167 meV/atom
density: 7.5 g cm⁻³
E: -46.386 eV per formula unit

Cell and atoms, written as POSCAR:
```
Ac2LaThSb4
1.0
8.089 0.000 0.000
0.000 4.669 0.000
-2.689 0.000 7.653
Ac La Th Sb
2 1 1 4
direct
0.000 0.000 0.000
0.500 0.500 0.000
0.000 0.500 0.500
0.500 0.000 0.500
0.250 0.000 0.736
0.259 0.500 0.266
0.741 0.500 0.734
0.750 0.000 0.264
```

=====

[12]
A geometry-optimized AcLa2ThSb4 structure, computed with GGA-PBE.

Output
DOS at the Fermi energy: 1.9 states/eV/f.u.
uncorrected formation energy: -1178 meV/atom
density: 7.2 g cm⁻³
E: -47.297 eV per formula unit

Cell and atoms, written as POSCAR:
```
AcLa2ThSb4
1.0
8.015 0.000 0.000
0.000 4.631 0.000
-2.668 0.000 7.580
Ac La Th Sb
1 2 1 4
direct
0.000 0.000 0.000
0.500 0.000 0.500
0.500 0.500 0.000
0.000 0.500 0.500
0.248 0.000 0.741
0.253 0.500 0.260
0.747 0.500 0.740
0.752 0.000 0.259
```

=====

[13]
A geometry-optimized AcLaTlSb structure, computed with GGA-PBE.

Output
DOS at the Fermi energy: 5.0 states/eV/f.u.
uncorrected formation energy: -597 meV/atom
density: 8.7 g cm⁻³
E: -17.912 eV per formula unit

Cell and atoms, written as POSCAR:
```
AcLaTlSb
1.0
8.084 0.000 0.000
0.000 8.084 0.000
0.000 0.000 8.084
Ac La Tl Sb
4 4 4 4
direct
0.000 0.000 0.000
0.000 0.500 0.500
0.500 0.000 0.500
0.500 0.500 0.000
0.000 0.000 0.500
0.000 0.500 0.000
0.500 0.000 0.000
0.500 0.500 0.500
0.250 0.250 0.750
0.250 0.750 0.250
0.750 0.250 0.250
0.750 0.750 0.750
0.250 0.250 0.250
0.250 0.750 0.750
0.750 0.250 0.750
0.750 0.750 0.250
```

=====

[14]
A geometry-optimized AcLa2TmSb4 structure, computed with GGA-PBE.

Output
DOS at the Fermi energy: 0.8 states/eV/f.u.
uncorrected formation energy: -1175 meV/atom
density: 7.0 g cm⁻³
E: -44.322 eV per formula unit

Cell and atoms, written as POSCAR:
```
AcLa2TmSb4
1.0
7.971 0.000 0.000
0.000 4.613 0.000
-2.658 0.000 7.517
Ac La Tm Sb
1 2 1 4
direct
0.000 0.000 0.000
0.500 0.000 0.500
0.500 0.500 0.000
0.000 0.500 0.500
0.242 0.000 0.736
0.251 0.500 0.263
0.749 0.500 0.737
0.758 0.000 0.264
```

=====

[15]
A geometry-optimized Ac3LaY2Sb6 structure, computed with GGA-PBE.

Output
DOS at the Fermi energy: 1.7 states/eV/f.u.
uncorrected formation energy: -1190 meV/atom
density: 6.8 g cm⁻³
E: -69.191 eV per formula unit

Cell and atoms, written as POSCAR:
```
Ac3LaY2Sb6
1.0
4.018 -6.958 0.000
4.018 6.958 0.000
-2.681 0.000 7.571
Ac La Y Sb
3 1 2 6
direct
0.000 0.000 0.000
0.335 0.665 0.000
0.665 0.335 0.000
0.500 0.500 0.500
0.167 0.833 0.500
0.833 0.167 0.500
0.082 0.422 0.268
0.236 0.236 0.730
0.422 0.082 0.268
0.578 0.918 0.732
0.764 0.764 0.270
0.918 0.578 0.732
```

=====

[16]
A geometry-optimized AcLaZnSb structure, computed with GGA-PBE.

Output
DOS at the Fermi energy: 4.3 states/eV/f.u.
uncorrected formation energy: -578 meV/atom
density: 7.5 g cm⁻³
E: -16.745 eV per formula unit

Cell and atoms, written as POSCAR:
```
AcLaZnSb
1.0
7.874 0.000 0.000
0.000 7.874 0.000
0.000 0.000 7.874
Ac La Zn Sb
4 4 4 4
direct
0.000 0.000 0.000
0.000 0.500 0.500
0.500 0.000 0.500
0.500 0.500 0.000
0.000 0.000 0.500
0.000 0.500 0.000
0.500 0.000 0.000
0.500 0.500 0.500
0.250 0.250 0.750
0.250 0.750 0.250
0.750 0.250 0.250
0.750 0.750 0.750
0.250 0.250 0.250
0.250 0.750 0.750
0.750 0.250 0.750
0.750 0.750 0.250
```

=====

[17]
A geometry-optimized Ac2La8Sc structure, computed with GGA-PBE.

Output
energy of formation from the pure elements: 34 meV per atom
DOS at the Fermi energy: 20.3 states/eV/f.u.
density: 6.6 g cm⁻³
E: -53.590 eV per formula unit

Cell and atoms, written as POSCAR:
```
Ac2La8Sc
1.0
9.510 -2.648 0.000
9.510 2.648 0.000
-2.239 0.000 8.054
Ac La Sc
2 8 1
direct
0.226 0.226 0.140
0.774 0.774 0.860
0.043 0.043 0.233
0.131 0.131 0.667
0.324 0.324 0.590
0.414 0.414 0.058
0.586 0.586 0.942
0.676 0.676 0.410
0.869 0.869 0.333
0.957 0.957 0.767
0.500 0.500 0.500
```

=====

[18]
A geometry-optimized AcLaSc2 structure, computed with GGA-PBE.

Output
energy of formation from the pure elements: 89 meV per atom
energy relative to the lowest polymorph listed for this composition: 0.010 eV/atom
DOS at the Fermi energy: 6.9 states/eV/f.u.
density: 5.9 g cm⁻³
E: -21.344 eV per formula unit

Cell and atoms, written as POSCAR:
```
AcLaSc2
1.0
8.015 0.000 0.000
0.000 8.015 0.000
0.000 0.000 8.015
Ac La Sc
4 4 8
direct
0.000 0.000 0.000
0.000 0.500 0.500
0.500 0.000 0.500
0.500 0.500 0.000
0.000 0.000 0.500
0.000 0.500 0.000
0.500 0.000 0.000
0.500 0.500 0.500
0.250 0.250 0.250
0.250 0.250 0.750
0.250 0.750 0.250
0.250 0.750 0.750
0.750 0.250 0.250
0.750 0.250 0.750
0.750 0.750 0.250
0.750 0.750 0.750
```

=====

[19]
A geometry-optimized AcLa6Sc2 structure, computed with GGA-PBE.

Output
energy of formation from the pure elements: 99 meV per atom
DOS at the Fermi energy: 14.4 states/eV/f.u.
density: 6.1 g cm⁻³
E: -45.441 eV per formula unit

Cell and atoms, written as POSCAR:
```
AcLa6Sc2
1.0
4.867 -5.997 0.000
4.867 5.997 0.000
-2.709 0.000 10.648
Ac La Sc
2 12 4
direct
0.150 0.850 0.750
0.850 0.150 0.250
0.104 0.860 0.405
0.140 0.896 0.095
0.188 0.478 0.135
0.218 0.466 0.497
0.466 0.218 0.997
0.478 0.188 0.635
0.522 0.812 0.365
0.534 0.782 0.003
0.782 0.534 0.503
0.812 0.522 0.865
0.860 0.104 0.905
0.896 0.140 0.595
0.233 0.434 0.810
0.434 0.233 0.310
0.566 0.767 0.690
0.767 0.566 0.190
```

=====

[20]
A geometry-optimized AcLaSc structure, computed with GGA-PBE.

Output
energy of formation from the pure elements: 96 meV per atom
energy relative to the lowest polymorph listed for this composition: 0.000 eV/atom
DOS at the Fermi energy: 4.9 states/eV/f.u.
density: 6.5 g cm⁻³
E: -15.079 eV per formula unit

Cell and atoms, written as POSCAR:
```
AcLaSc
1.0
3.792 0.000 0.000
0.000 3.792 0.000
0.000 0.000 14.643
Ac La Sc
2 2 2
direct
0.000 0.000 0.000
0.500 0.500 0.500
0.000 0.000 0.313
0.500 0.500 0.813
0.000 0.000 0.662
0.500 0.500 0.162
```

=====

[21]
A geometry-optimized Ac2LaSc structure, computed with GGA-PBE.

Output
energy of formation from the pure elements: 113 meV per atom
energy relative to the lowest polymorph listed for this composition: 0.042 eV/atom
DOS at the Fermi energy: 6.2 states/eV/f.u.
density: 7.1 g cm⁻³
E: -19.023 eV per formula unit

Cell and atoms, written as POSCAR:
```
Ac2LaSc
1.0
3.792 0.000 0.000
-1.896 3.284 0.000
0.000 0.000 35.967
Ac La Sc
6 3 3
direct
0.000 0.000 0.000
0.000 0.000 0.177
0.333 0.667 0.667
0.333 0.667 0.844
0.667 0.333 0.333
0.667 0.333 0.511
0.000 0.000 0.757
0.333 0.667 0.424
0.667 0.333 0.090
0.000 0.000 0.588
0.333 0.667 0.255
0.667 0.333 0.922
```

=====

[22]
A geometry-optimized AcLaSc2 structure, computed with GGA-PBE.

Output
energy of formation from the pure elements: 128 meV per atom
energy relative to the lowest polymorph listed for this composition: 0.049 eV/atom
DOS at the Fermi energy: 4.5 states/eV/f.u.
density: 6.0 g cm⁻³
E: -21.187 eV per formula unit

Cell and atoms, written as POSCAR:
```
AcLaSc2
1.0
3.624 0.000 0.000
-1.812 3.139 0.000
0.000 0.000 33.387
Ac La Sc
3 3 6
direct
0.000 0.000 0.000
0.333 0.667 0.667
0.667 0.333 0.333
0.000 0.000 0.500
0.333 0.667 0.167
0.667 0.333 0.833
0.000 0.000 0.249
0.000 0.000 0.751
0.333 0.667 0.418
0.333 0.667 0.915
0.667 0.333 0.085
0.667 0.333 0.582
```

=====

[23]
A geometry-optimized AcLaSc2 structure, computed with GGA-PBE.

Output
energy of formation from the pure elements: 79 meV per atom
energy relative to the lowest polymorph listed for this composition: 0.000 eV/atom
DOS at the Fermi energy: 6.0 states/eV/f.u.
density: 5.9 g cm⁻³
E: -21.383 eV per formula unit

Cell and atoms, written as POSCAR:
```
AcLaSc2
1.0
4.037 0.000 0.000
0.000 4.037 0.000
0.000 0.000 7.905
Ac La Sc
1 1 2
direct
0.000 0.000 0.000
0.000 0.000 0.500
0.500 0.500 0.262
0.500 0.500 0.738
```